Model i:
Material: Tl2HgCl4
Method: DFT, GGA-PBE
State: relaxed

Summary:
* volume: 220 Å³/f.u.
* density of states at the Fermi level: 0.000 states/eV/atom

Lattice parameters (Å, degrees): 8.1194 12.0161 4.5181 90.00 90.00 90.00
Element x y z (fractional)
Tl  0.0885  0.1770  0.0000
Tl  0.4115  0.6770  0.0000
Tl  0.5885  0.3230  0.0000
Tl  0.9115  0.8230  0.0000
Hg  0.0000  0.5000  0.5000
Hg  0.5000  0.0000  0.5000
Cl  0.1244  0.6898  0.5000
Cl  0.2132  0.4358  0.0000
Cl  0.2868  0.9358  0.0000
Cl  0.3756  0.1898  0.5000
Cl  0.6244  0.8102  0.5000
Cl  0.7132  0.0642  0.0000
Cl  0.7868  0.5642  0.0000
Cl  0.8756  0.3102  0.5000

Model ii:
Material: Tl2HgCl4
Method: DFT, GGA-PBE
State: relaxed

Summary:
* volume: 238 Å³/f.u.
* density of states at the Fermi level: 0.000 states/eV/atom

Lattice parameters (Å, degrees): 7.5989 7.4575 8.8157 90.00 108.04 90.00
Element x y z (fractional)
Tl  0.2081  0.2500  0.0549
Tl  0.2431  0.2500  0.5560
Tl  0.7569  0.7500  0.4440
Tl  0.7919  0.7500  0.9451
Hg  0.2579  0.7500  0.8074
Hg  0.7421  0.2500  0.1926
Cl  0.0132  0.0028  0.7432
Cl  0.0132  0.4972  0.7432
Cl  0.4416  0.7500  0.6164
Cl  0.4492  0.7500  0.0958
Cl  0.5508  0.2500  0.9042
Cl  0.5584  0.2500  0.3836
Cl  0.9868  0.5028  0.2568
Cl  0.9868  0.9972  0.2568

Energy relative to the most stable one, in meV/atom: model i 0; model ii 6

Model i:
Material: TlHgCl4
Method: DFT, GGA-PBE
State: relaxed

Summary:
* volume: 188 Å³/f.u.
* density of states at the Fermi level: 0.305 states/eV/atom

Lattice parameters (Å, degrees): 7.7527 6.3197 7.9526 90.00 105.28 90.00
Element x y z (fractional)
Tl  0.0000  0.0000  0.0000
Tl  0.0000  0.5000  0.5000
Hg  0.5000  0.0000  0.5000
Hg  0.5000  0.5000  0.0000
Cl  0.1419  0.2124  0.3096
Cl  0.1419  0.2876  0.8096
Cl  0.3559  0.7354  0.6249
Cl  0.3559  0.7646  0.1249
Cl  0.6441  0.2354  0.8751
Cl  0.6441  0.2646  0.3751
Cl  0.8581  0.7124  0.1904
Cl  0.8581  0.7876  0.6904

Model ii:
Material: TlHgCl4
Method: DFT, GGA-PBE
State: relaxed

Summary:
* volume: 169 Å³/f.u.
* density of states at the Fermi level: 0.892 states/eV/atom

Lattice parameters (Å, degrees): 6.2063 6.2063 6.2063 60.00 60.00 60.00
Element x y z (fractional)
Tl  0.0000  0.0000  0.0000
Hg  0.2500  0.2500  0.2500
Cl  0.1241  0.6253  0.6253
Cl  0.6253  0.1241  0.6253
Cl  0.6253  0.6253  0.1241
Cl  0.6253  0.6253  0.6253

Energy relative to the most stable one, in meV/atom: model i 0; model ii 695

Model i:
Material: Tl3HgCl
Method: DFT, GGA-PBE
State: relaxed

Summary:
* volume: 201 Å³/f.u.
* density of states at the Fermi level: 0.582 states/eV/atom

Lattice parameters (Å, degrees): 5.8571 5.8571 5.8571 90.00 90.00 90.00
Element x y z (fractional)
Tl  0.0000  0.0000  0.5000
Tl  0.0000  0.5000  0.0000
Tl  0.5000  0.0000  0.0000
Hg  0.0000  0.0000  0.0000
Cl  0.5000  0.5000  0.5000

Model ii:
Material: Tl3HgCl
Method: DFT, GGA-PBE
State: relaxed

Summary:
* volume: 205 Å³/f.u.
* density of states at the Fermi level: 0.652 states/eV/atom

Lattice parameters (Å, degrees): 5.8961 5.8961 5.8961 90.00 90.00 90.00
Element x y z (fractional)
Tl  0.0000  0.0000  0.5000
Tl  0.0000  0.5000  0.0000
Tl  0.5000  0.0000  0.0000
Hg  0.5000  0.5000  0.5000
Cl  0.0000  0.0000  0.0000

Energy relative to the most stable one, in meV/atom: model i 45; model ii 0

Model i:
Material: Tl5HgCl8
Method: DFT, GGA-PBE
State: relaxed

Summary:
* volume: 507 Å³/f.u.
* density of states at the Fermi level: 0.408 states/eV/atom

Lattice parameters (Å, degrees): 8.9480 8.9480 8.9480 60.00 60.00 60.00
Element x y z (fractional)
Tl  0.0000  0.0000  0.0000
Tl  0.1307  0.6231  0.6231
Tl  0.6231  0.1307  0.6231
Tl  0.6231  0.6231  0.1307
Tl  0.6231  0.6231  0.6231
Hg  0.2500  0.2500  0.2500
Cl  0.3668  0.3668  0.3668
Cl  0.3668  0.3668  0.8996
Cl  0.3668  0.8996  0.3668
Cl  0.3764  0.8745  0.8745
Cl  0.8745  0.3764  0.8745
Cl  0.8745  0.8745  0.3764
Cl  0.8745  0.8745  0.8745
Cl  0.8996  0.3668  0.3668

Model ii:
Material: Tl5HgCl8
Method: DFT, GGA-PBE
State: relaxed

Summary:
* volume: 429 Å³/f.u.
* density of states at the Fermi level: 0.438 states/eV/atom

Lattice parameters (Å, degrees): 8.2541 8.2541 8.2541 112.68 112.68 103.24
Element x y z (fractional)
Tl  0.0000  0.0000  0.0000
Tl  0.1310  0.5015  0.8690
Tl  0.4985  0.3674  0.6295
Tl  0.6326  0.2621  0.1310
Tl  0.7379  0.8690  0.3705
Hg  0.2500  0.7500  0.5000
Cl  0.0005  0.2205  0.3614
Cl  0.2315  0.0670  0.7102
Cl  0.3567  0.5213  0.2898
Cl  0.3608  0.9995  0.2200
Cl  0.4787  0.7685  0.8355
Cl  0.7795  0.1408  0.7800
Cl  0.8592  0.6392  0.6386
Cl  0.9330  0.6433  0.1645

Energy relative to the most stable one, in meV/atom: model i 0; model ii 20

Model i:
Material: Tl2HgCl8
Method: DFT, GGA-PBE
State: relaxed

Summary:
* volume: 398 Å³/f.u.
* density of states at the Fermi level: 0.000 states/eV/atom

Lattice parameters (Å, degrees): 7.9696 7.9696 6.6072 95.69 95.69 72.72
Element x y z (fractional)
Tl  0.2154  0.2154  0.1674
Tl  0.7846  0.7846  0.8326
Hg  0.0000  0.0000  0.5000
Cl  0.0908  0.7119  0.7039
Cl  0.1887  0.1887  0.7886
Cl  0.2881  0.9092  0.2961
Cl  0.3974  0.3974  0.2925
Cl  0.6026  0.6026  0.7075
Cl  0.7119  0.0908  0.7039
Cl  0.8113  0.8113  0.2114
Cl  0.9092  0.2881  0.2961

Model ii:
Material: Tl2HgCl8
Method: DFT, GGA-PBE
State: relaxed

Summary:
* volume: 396 Å³/f.u.
* density of states at the Fermi level: 0.000 states/eV/atom

Lattice parameters (Å, degrees): 10.0310 10.0310 13.0857 126.75 126.75 54.49
Element x y z (fractional)
Tl  0.2100  0.2897  0.0066
Tl  0.2897  0.2100  0.5066
Tl  0.7103  0.7900  0.4934
Tl  0.7900  0.7103  0.9934
Hg  0.2030  0.7970  0.7500
Hg  0.7970  0.2030  0.2500
Cl  0.0615  0.6849  0.5061
Cl  0.0968  0.6134  0.0056
Cl  0.1313  0.1838  0.2688
Cl  0.1838  0.1313  0.7688
Cl  0.3151  0.9385  0.9939
Cl  0.3548  0.4189  0.7440
Cl  0.3866  0.9032  0.4944
Cl  0.4189  0.3548  0.2440
Cl  0.5811  0.6452  0.7560
Cl  0.6134  0.0968  0.5056
Cl  0.6452  0.5811  0.2560
Cl  0.6849  0.0615  0.0061
Cl  0.8162  0.8687  0.2312
Cl  0.8687  0.8162  0.7312
Cl  0.9032  0.3866  0.9944
Cl  0.9385  0.3151  0.4939

Energy relative to the most stable one, in meV/atom: model i 28; model ii 0

Model i:
Material: UHgCl3
Method: DFT, GGA-PBE
State: relaxed

Summary:
* volume: 218 Å³/f.u.
* density of states at the Fermi level: 0.415 states/eV/atom

Lattice parameters (Å, degrees): 10.8021 10.8021 10.8021 38.33 38.33 38.33
Element x y z (fractional)
U  0.1670  0.1670  0.1670
U  0.8330  0.8330  0.8330
Hg  0.3367  0.3367  0.3367
Hg  0.6633  0.6633  0.6633
Cl  0.0828  0.4471  0.8157
Cl  0.1843  0.9172  0.5529
Cl  0.4471  0.8157  0.0828
Cl  0.5529  0.1843  0.9172
Cl  0.8157  0.0828  0.4471
Cl  0.9172  0.5529  0.1843

Model ii:
Material: UHgCl3
Method: DFT, GGA-PBE
State: relaxed

Summary:
* volume: 168 Å³/f.u.
* density of states at the Fermi level: 0.350 states/eV/atom

Lattice parameters (Å, degrees): 5.5199 5.5199 5.5199 90.00 90.00 90.00
Element x y z (fractional)
U  0.0000  0.0000  0.0000
Hg  0.5000  0.5000  0.5000
Cl  0.0000  0.0000  0.5000
Cl  0.0000  0.5000  0.0000
Cl  0.5000  0.0000  0.0000

Energy relative to the most stable one, in meV/atom: model i 0; model ii 57

Model i:
Material: UHg2Cl5
Method: DFT, GGA-PBE
State: relaxed

Summary:
* volume: 385 Å³/f.u.
* density of states at the Fermi level: 0.121 states/eV/atom

Lattice parameters (Å, degrees): 14.7049 7.8697 7.8736 90.00 122.28 90.00
Element x y z (fractional)
U  0.0000  0.0000  0.0000
U  0.5000  0.5000  0.0000
Hg  0.2438  0.0000  0.7442
Hg  0.2439  0.5000  0.2448
Hg  0.7439  0.0000  0.2448
Hg  0.7438  0.5000  0.7442
Cl  0.1981  0.0000  0.1985
Cl  0.4778  0.2780  0.1999
Cl  0.4782  0.2779  0.7562
Cl  0.4778  0.7220  0.1999
Cl  0.4782  0.7221  0.7562
Cl  0.6981  0.5000  0.1985
Cl  0.9778  0.2220  0.1999
Cl  0.9782  0.2221  0.7562
Cl  0.9778  0.7780  0.1999
Cl  0.9782  0.7779  0.7562

Model ii:
Material: UHg2Cl5
Method: DFT, GGA-PBE
State: relaxed

Summary:
* volume: 302 Å³/f.u.
* density of states at the Fermi level: 0.595 states/eV/atom

Lattice parameters (Å, degrees): 11.8214 10.4589 5.5116 90.00 117.75 90.00
Element x y z (fractional)
U  0.0000  0.0000  0.0000
U  0.5000  0.5000  0.0000
Hg  0.0000  0.5000  0.2436
Hg  0.0000  0.5000  0.7436
Hg  0.5000  0.0000  0.2436
Hg  0.5000  0.0000  0.7436
Cl  0.0000  0.0000  0.5002
Cl  0.1699  0.1705  0.1702
Cl  0.1699  0.8295  0.1702
Cl  0.3299  0.3297  0.8298
Cl  0.3299  0.6703  0.8298
Cl  0.5000  0.5000  0.5002
Cl  0.6699  0.3295  0.1702
Cl  0.6699  0.6705  0.1702
Cl  0.8299  0.1703  0.8298
Cl  0.8299  0.8297  0.8298

Energy relative to the most stable one, in meV/atom: model i 115; model ii 0

Model i:
Material: UHg3Cl6
Method: DFT, GGA-PBE
State: relaxed

Summary:
* volume: 373 Å³/f.u.
* density of states at the Fermi level: 0.664 states/eV/atom

Lattice parameters (Å, degrees): 8.3334 9.2309 12.5599 90.00 129.47 90.00
Element x y z (fractional)
U  0.0000  0.0000  0.0000
U  0.0000  0.5000  0.5000
Hg  0.1670  0.0056  0.5001
Hg  0.1670  0.4944  0.0001
Hg  0.5000  0.0000  0.5000
Hg  0.5000  0.5000  0.0000
Hg  0.8330  0.5056  0.9999
Hg  0.8330  0.9944  0.4999
Cl  0.0937  0.6806  0.6847
Cl  0.0937  0.8194  0.1847
Cl  0.2463  0.1844  0.1860
Cl  0.2463  0.3156  0.6860
Cl  0.2908  0.5965  0.5098
Cl  0.2908  0.9035  0.0098
Cl  0.7092  0.0965  0.9902
Cl  0.7092  0.4035  0.4902
Cl  0.7537  0.6844  0.3140
Cl  0.7537  0.8156  0.8140
Cl  0.9063  0.1806  0.8153
Cl  0.9063  0.3194  0.3153

Model ii:
Material: UHg3Cl6
Method: DFT, GGA-PBE
State: relaxed

Summary:
* volume: 340 Å³/f.u.
* density of states at the Fermi level: 0.575 states/eV/atom

Lattice parameters (Å, degrees): 6.3756 6.3756 9.6576 90.00 90.00 120.00
Element x y z (fractional)
U  0.0000  0.0000  0.0000
Hg  0.0000  0.0000  0.5000
Hg  0.3333  0.6667  0.5000
Hg  0.6667  0.3333  0.5000
Cl  0.0000  0.3145  0.8477
Cl  0.0000  0.6855  0.1523
Cl  0.3145  0.0000  0.8477
Cl  0.3145  0.3145  0.1523
Cl  0.6855  0.0000  0.1523
Cl  0.6855  0.6855  0.8477

Energy relative to the most stable one, in meV/atom: model i 0; model ii 87